Entry 1:
Material: CaPtRh2
Method: DFT, PBE-GGA
State: optimized geometry Values from VASP.

```
&SYSTEM
  ibrav = 0, nat = 4, ntyp = 3
/
ATOMIC_SPECIES
Ca 40.08 Ca.upf
Rh 102.91 Rh.upf
Pt 195.08 Pt.upf
CELL_PARAMETERS angstrom
-0.455 -3.447 -3.011
1.009 -4.306 1.264
-3.366 -3.090 0.532
ATOMIC_POSITIONS crystal
Ca 0.500 0.500 0.500
Rh 0.000 0.000 0.000
Rh 0.250 0.250 0.250
Pt 0.750 0.750 0.750
```

Summary:
- ΔH_f (0 K): -0.3 eV per formula unit
- Crystal system: cubic
- E above lowest polymorph: 201 meV per atom
- Total DFT energy (no corrections): -5.7508 eV/atom



Entry 2:
Material: CaPtRh2
Method: DFT, PBE-GGA
State: optimized geometry Values from VASP.

```
&SYSTEM
  ibrav = 0, nat = 4, ntyp = 3
/
ATOMIC_SPECIES
Ca 40.08 Ca.upf
Rh 102.91 Rh.upf
Pt 195.08 Pt.upf
CELL_PARAMETERS angstrom
-0.161 2.183 -1.942
-2.742 0.558 0.855
2.756 5.103 5.508
ATOMIC_POSITIONS crystal
Ca 0.500 0.500 0.250
Rh 0.000 0.000 0.971
Rh 0.000 0.000 0.529
Pt 0.500 0.500 0.750
```

Summary:
- ΔH_f (0 K): -0.1 eV per formula unit
- Crystal system: tetragonal
- E above lowest polymorph: 238 meV per atom
- Total DFT energy (no corrections): -5.7130 eV/atom



Entry 3:
Material: CaPtRh2
Method: DFT, PBE-GGA
State: optimized geometry Values from VASP.

```
&SYSTEM
  ibrav = 0, nat = 4, ntyp = 3
/
ATOMIC_SPECIES
Ca 40.08 Ca.upf
Rh 102.91 Rh.upf
Pt 195.08 Pt.upf
CELL_PARAMETERS angstrom
1.458 -1.848 3.933
0.768 2.674 3.643
-2.806 -0.196 3.619
ATOMIC_POSITIONS crystal
Ca 0.000 0.000 0.000
Rh 0.250 0.250 0.250
Rh 0.750 0.750 0.750
Pt 0.500 0.500 0.500
```

Summary:
- ΔH_f (0 K): -0.2 eV per formula unit
- Crystal system: cubic
- E above lowest polymorph: 207 meV per atom
- Total DFT energy (no corrections): -5.7449 eV/atom